(1)
Compound: LiZn2Cr
Source: Alexandria
Functional: PBE-GGA
Structure: relaxed

Cell and atoms, written as POSCAR:
```
LiZn2Cr
1.0
-1.9017 -0.6206 3.8164
1.4615 -4.0522 0.1014
2.7393 3.2803 -0.5501
Cr Zn Li
1 2 1
Direct
0.5000 0.5000 0.0000
0.0000 0.0000 0.0000
0.2500 0.7500 0.5000
0.7500 0.2500 0.5000
```

Results
Magnetization: 3.29 μB per cell
Formation energy from the elements: 0.11 eV per atom
Uncorrected energy: -13.65 eV per cell



(2)
Compound: Li3ZnCr
Source: Alexandria
Functional: PBE-GGA
Structure: relaxed

Cell and atoms, written as POSCAR:
```
Li3ZnCr
1.0
-1.4273 -2.8682 3.0482
-2.9853 -1.5597 -2.8655
2.9336 -2.9826 -1.4329
Li Cr Zn
3 1 1
Direct
0.5000 0.0000 0.0000
0.0000 0.0000 0.5000
0.0000 0.5000 0.0000
0.5000 0.5000 0.5000
0.0000 0.0000 0.0000
```

Results
Magnetization: 0.00 μB per cell
Formation energy from the elements: 1.07 eV per atom
E above lowest polymorph: 267.6 meV per atom
Uncorrected energy: -11.29 eV per cell



(3)
Compound: Li2Zn2Cr
Source: Alexandria
Functional: PBE-GGA
Structure: relaxed

Cell and atoms, written as POSCAR:
```
Li2Zn2Cr
1.0
7.2103 0.0000 0.0000
0.0000 7.2103 0.0000
0.0000 0.0000 2.8393
Cr Zn Li
2 4 4
Direct
0.5000 0.5000 0.0000
0.0000 0.0000 0.0000
0.8278 0.3278 0.5000
0.6722 0.8278 0.5000
0.1722 0.6722 0.5000
0.3278 0.1722 0.5000
0.8736 0.6264 0.0000
0.3736 0.8736 0.0000
0.1264 0.3736 0.0000
0.6264 0.1264 0.0000
```

Results
Magnetization: 7.92 μB per cell
Formation energy from the elements: 0.17 eV per atom
Uncorrected energy: -30.32 eV per cell



(4)
Compound: LiZn2Cr
Source: Alexandria
Functional: PBE-GGA
Structure: relaxed

Cell and atoms, written as POSCAR:
```
LiZn2Cr
1.0
-0.7965 -5.0565 -0.6346
3.7885 -2.7562 -2.1577
-1.3196 3.0680 3.9308
Cr Li Zn
1 1 2
Direct
0.5076 0.5076 0.0000
0.2391 0.7391 0.5000
0.7574 0.2574 0.5000
0.9958 0.9958 0.0000
```

Results
Magnetization: 3.67 μB per cell
Formation energy from the elements: 0.12 eV per atom
Uncorrected energy: -13.61 eV per cell



(5)
Compound: LiZn2Cr
Source: Alexandria
Functional: PBE-GGA
Structure: relaxed

Cell and atoms, written as POSCAR:
```
LiZn2Cr
1.0
-1.7697 0.3115 1.8127
2.1735 -2.4659 2.5457
2.6373 4.2319 1.8476
Zn Cr Li
2 1 1
Direct
0.0000 0.0000 0.9874
0.5000 0.5000 0.2674
0.0000 0.0000 0.4860
0.5000 0.5000 0.7592
```

Results
Magnetization: 2.45 μB per cell
Formation energy from the elements: 0.20 eV per atom
Uncorrected energy: -13.30 eV per cell



(6)
Compound: Li3ZnCr
Source: Alexandria
Functional: PBE-GGA
Structure: relaxed

Cell and atoms, written as POSCAR:
```
Li3ZnCr
1.0
4.9653 0.0000 0.0000
0.0000 4.9653 0.0000
0.0000 0.0000 4.9653
Zn Li Cr
1 3 1
Direct
0.5000 0.5000 0.5000
0.5000 0.0000 0.0000
0.0000 0.5000 0.0000
0.0000 0.0000 0.5000
0.0000 0.0000 0.0000
```

Results
Magnetization: 5.18 μB per cell
Formation energy from the elements: 0.80 eV per atom
E above lowest polymorph: 0.0 meV per atom
Uncorrected energy: -12.63 eV per cell



(7)
Compound: LiZn2Cr
Source: Alexandria
Functional: PBE-GGA
Structure: relaxed

Cell and atoms, written as POSCAR:
```
LiZn2Cr
1.0
4.4880 0.0000 0.0000
0.0000 2.6673 0.0018
0.0000 -0.0031 4.4875
Zn Li Cr
2 1 1
Direct
0.0000 0.1250 0.8764
0.5000 0.1250 0.3738
0.5000 0.6249 0.8735
0.0000 0.6251 0.3762
```

Results
Magnetization: 0.95 μB per cell
Formation energy from the elements: 0.08 eV per atom
Uncorrected energy: -13.77 eV per cell



(8)
Compound: LiZn2Cr
Source: Alexandria
Functional: PBE-GGA
Structure: relaxed

Cell and atoms, written as POSCAR:
```
LiZn2Cr
1.0
9.1642 -0.0002 -0.0001
8.7863 2.6046 -0.0001
8.7863 1.2748 2.2713
Li Zn Cr
1 2 1
Direct
0.7500 0.7500 0.7500
0.9983 0.9983 0.9983
0.5017 0.5017 0.5017
0.2500 0.2500 0.2500
```

Results
Magnetization: 0.33 μB per cell
Formation energy from the elements: 0.11 eV per atom
Uncorrected energy: -13.65 eV per cell



(9)
Compound: LiZn2Cr2
Source: Alexandria
Functional: PBE-GGA
Structure: relaxed

Cell and atoms, written as POSCAR:
```
LiZn2Cr2
1.0
7.5829 0.0000 0.0000
0.0000 7.5829 0.0000
0.0000 0.0000 2.5306
Li Cr Zn
2 4 4
Direct
0.0000 0.0000 0.0000
0.5000 0.5000 0.0000
0.4013 0.9013 0.0000
0.5987 0.0987 0.0000
0.0987 0.4013 0.0000
0.9013 0.5987 0.0000
0.6927 0.8073 0.5000
0.3073 0.1927 0.5000
0.1927 0.6927 0.5000
0.8073 0.3073 0.5000
```

Results
Magnetization: 0.00 μB per cell
Formation energy from the elements: 0.29 eV per atom
E above lowest polymorph: 0.0 meV per atom
Uncorrected energy: -44.54 eV per cell



(10)
Compound: LiZn2Cr
Source: Alexandria
Functional: PBE-GGA
Structure: relaxed

Cell and atoms, written as POSCAR:
```
LiZn2Cr
1.0
-4.8782 -1.0531 0.4386
-3.5342 -2.3983 2.6184
-1.8397 2.9376 2.9471
Zn Li Cr
2 1 1
Direct
0.7424 0.7424 0.7140
0.0078 0.0078 0.0342
0.2613 0.2613 0.2071
0.4885 0.4885 0.5446
```

Results
Magnetization: 3.55 μB per cell
Formation energy from the elements: 0.11 eV per atom
Uncorrected energy: -13.63 eV per cell



(11)
Compound: LiZn2Cr
Source: Alexandria
Functional: PBE-GGA
Structure: relaxed

Cell and atoms, written as POSCAR:
```
LiZn2Cr
1.0
-2.2656 1.5580 -3.6177
-2.4549 -3.7448 0.7735
-1.5888 1.3696 1.5854
Li Cr Zn
1 1 2
Direct
0.0000 0.5000 0.5000
0.5000 0.0000 0.5000
0.5000 0.5000 0.0000
0.0000 0.0000 0.0000
```

Results
Magnetization: 0.94 μB per cell
Formation energy from the elements: 0.08 eV per atom
Uncorrected energy: -13.77 eV per cell



(12)
Compound: LiZn2Cr
Source: Alexandria
Functional: PBE-GGA
Structure: relaxed

Cell and atoms, written as POSCAR:
```
LiZn2Cr
1.0
-1.9952 1.3229 0.8352
-1.5246 -1.9477 -0.5570
1.1507 -3.0837 7.6337
Zn Cr Li
2 1 1
Direct
0.0000 0.0000 0.7567
0.0000 0.0000 0.2433
0.5000 0.5000 0.0000
0.5000 0.5000 0.5000
```

Results
Magnetization: 0.00 μB per cell
Formation energy from the elements: 0.05 eV per atom
Uncorrected energy: -13.88 eV per cell



(13)
Compound: LiZn3Cr
Source: Alexandria
Functional: PBE-GGA
Structure: relaxed

Cell and atoms, written as POSCAR:
```
LiZn3Cr
1.0
4.9020 0.0000 0.0000
0.0000 4.9020 0.0000
0.0000 0.0000 4.9020
Cr Zn Li
1 3 1
Direct
0.0000 0.0000 0.0000
0.0000 0.0000 0.5000
0.0000 0.5000 0.0000
0.5000 0.0000 0.0000
0.5000 0.5000 0.5000
```

Results
Magnetization: 3.80 μB per cell
Formation energy from the elements: 0.54 eV per atom
E above lowest polymorph: 0.0 meV per atom
Uncorrected energy: -12.68 eV per cell



(14)
Compound: LiZr2Cr
Source: Alexandria
Functional: PBE-GGA
Structure: relaxed

Cell and atoms, written as POSCAR:
```
LiZr2Cr
1.0
-2.4690 -1.3518 1.6362
-0.5990 -1.9642 -2.5266
4.5123 -4.9134 2.7499
Zr Cr Li
2 1 1
Direct
0.5000 0.5000 0.2803
0.0000 0.0000 0.9869
0.0000 0.0000 0.5200
0.5000 0.5000 0.7129
```

Results
Magnetization: 3.37 μB per cell
Formation energy from the elements: 0.32 eV per atom
Uncorrected energy: -27.34 eV per cell



(15)
Compound: LiZr2Cr
Source: Alexandria
Functional: PBE-GGA
Structure: relaxed

Cell and atoms, written as POSCAR:
```
LiZr2Cr
1.0
-3.7608 1.6174 1.6483
-2.3525 0.0833 3.7329
2.5599 5.3315 2.1943
Li Zr Cr
1 2 1
Direct
0.2500 0.2500 0.2500
0.0094 0.0094 0.9663
0.4906 0.4906 0.5337
0.7500 0.7500 0.7500
```

Results
Magnetization: 0.53 μB per cell
Formation energy from the elements: 0.41 eV per atom
Uncorrected energy: -27.00 eV per cell



(16)
Compound: LiZr2Cr
Source: Alexandria
Functional: PBE-GGA
Structure: relaxed

Cell and atoms, written as POSCAR:
```
LiZr2Cr
1.0
9.3895 -0.0198 -0.0116
8.8552 3.1221 -0.0116
8.8552 1.5057 2.7350
Zr Cr Li
2 1 1
Direct
0.5145 0.5145 0.5145
0.9855 0.9855 0.9855
0.2500 0.2500 0.2500
0.7500 0.7500 0.7500
```

Results
Magnetization: 0.00 μB per cell
Formation energy from the elements: 0.38 eV per atom
Uncorrected energy: -27.13 eV per cell



(17)
Compound: LiZrCr2
Source: Alexandria
Functional: PBE-GGA
Structure: relaxed

Cell and atoms, written as POSCAR:
```
LiZrCr2
1.0
9.2496 0.0178 0.0104
8.7992 2.8514 0.0104
8.7992 1.3988 2.4848
Cr Li Zr
2 1 1
Direct
0.9847 0.9847 0.9847
0.2620 0.2620 0.2620
0.5109 0.5109 0.5109
0.7424 0.7424 0.7424
```

Results
Magnetization: 0.00 μB per cell
Formation energy from the elements: 0.43 eV per atom
Uncorrected energy: -27.98 eV per cell



(18)
Compound: LiZr4Cr
Source: Alexandria
Functional: PBE-GGA
Structure: relaxed

Cell and atoms, written as POSCAR:
```
LiZr4Cr
1.0
-5.4029 -1.0818 1.7837
-1.9510 2.3522 4.9198
-4.0007 4.1841 -0.1779
Cr Zr Li
1 4 1
Direct
0.7500 0.7500 0.7500
0.3765 0.3765 0.8706
0.3765 0.3765 0.3765
0.8706 0.3765 0.3765
0.3765 0.8706 0.3765
0.0000 0.0000 0.0000
```

Results
Magnetization: 3.69 μB per cell
Formation energy from the elements: 0.64 eV per atom
Uncorrected energy: -41.92 eV per cell



(19)
Compound: LiZrCr2
Source: Alexandria
Functional: PBE-GGA
Structure: relaxed

Cell and atoms, written as POSCAR:
```
LiZrCr2
1.0
4.9250 -0.0060 -0.0216
-2.2665 4.7984 -0.0013
0.3920 0.6870 2.4613
Li Cr Zr
1 2 1
Direct
0.0000 0.5000 0.5000
0.0000 0.0000 0.0000
0.5000 0.0000 0.5000
0.5000 0.5000 0.0000
```

Results
Magnetization: 0.00 μB per cell
Formation energy from the elements: 0.57 eV per atom
Uncorrected energy: -27.44 eV per cell



(20)
Compound: LiZr2Cr
Source: Alexandria
Functional: PBE-GGA
Structure: relaxed

Cell and atoms, written as POSCAR:
```
LiZr2Cr
1.0
-2.0663 0.4140 -2.3685
1.7421 -1.9125 -1.8541
-2.3258 -8.0207 0.6271
Li Zr Cr
1 2 1
Direct
0.5000 0.7500 0.7500
0.0000 0.9539 0.0463
0.0000 0.5461 0.4537
0.5000 0.2500 0.2500
```

Results
Magnetization: 0.48 μB per cell
Formation energy from the elements: 0.18 eV per atom
Uncorrected energy: -27.90 eV per cell